Entry 1:
Li2Al2CdAg5: relaxed, GGA-PBE.

a = 9.480 Å, b = 9.480 Å, c = 4.126 Å
α = 90.00°, β = 90.00°, γ = 90.00°
Atoms (fractional coordinates):
1 Li 0.177 0.323 0.000
2 Li 0.323 0.823 0.000
3 Li 0.677 0.177 0.000
4 Li 0.823 0.677 0.000
5 Al 0.117 0.617 0.000
6 Al 0.383 0.117 0.000
7 Al 0.617 0.883 0.000
8 Al 0.883 0.383 0.000
9 Cd 0.000 0.000 0.000
10 Cd 0.500 0.500 0.000
11 Ag 0.000 0.500 0.500
12 Ag 0.075 0.796 0.500
13 Ag 0.204 0.075 0.500
14 Ag 0.296 0.575 0.500
15 Ag 0.425 0.296 0.500
16 Ag 0.500 0.000 0.500
17 Ag 0.575 0.704 0.500
18 Ag 0.704 0.425 0.500
19 Ag 0.796 0.925 0.500
20 Ag 0.925 0.204 0.500

**Calculated volume**: 18.54 Å³ per atom
**ΔH_f (0 K)**: -0.085 eV/atom
**Space-group type**: P4/mbm, No. 127


Entry 2:
Tb3Nd2Y6Pb: relaxed, GGA-PBE.

a = 6.153 Å, b = 6.153 Å, c = 11.793 Å
α = 95.00°, β = 95.00°, γ = 120.01°
Atoms (fractional coordinates):
1 Tb 0.000 0.000 0.000
2 Tb 0.333 0.667 0.000
3 Tb 0.667 0.333 0.000
4 Nd 0.166 0.834 0.500
5 Nd 0.834 0.166 0.500
6 Y 0.091 0.418 0.251
7 Y 0.257 0.257 0.750
8 Y 0.418 0.091 0.251
9 Y 0.582 0.909 0.749
10 Y 0.743 0.743 0.250
11 Y 0.909 0.582 0.749
12 Pb 0.500 0.500 0.500

**Calculated volume**: 31.72 Å³ per atom
**ΔH_f (0 K)**: -0.070 eV/atom
**Space-group type**: C2/m, No. 12